Entry 1:
NaHo2F8 after structural relaxation. Source: Alexandria via LeMat-Bulk, functional GGA-PBE.

Crystal system: monoclinic
Total magnetic moment: 1.049 μB per cell
ΔE_f (raw): -3.407 eV/atom

a = 3.922 Å, b = 7.112 Å, c = 6.874 Å
α = 101.99°, β = 90.00°, γ = 106.01°
Site moments in Bohr magnetons follow the coordinates.
Positions (direct):
Na (0.500, 0.000, 0.000)  0.00
Ho (0.739, 0.478, 0.742)  -0.01
Ho (0.261, 0.522, 0.258)  -0.01
F (0.417, 0.834, 0.252)  0.20
F (0.735, 0.471, 0.095)  0.02
F (0.801, 0.603, 0.461)  0.03
F (0.901, 0.803, 0.865)  0.21
F (0.199, 0.397, 0.539)  0.03
F (0.265, 0.529, 0.905)  0.02
F (0.583, 0.166, 0.748)  0.20
F (0.099, 0.197, 0.135)  0.21

Entry 2:
Na2Ho2F7 after structural relaxation. Source: Alexandria via LeMat-Bulk, functional GGA-PBE.

Crystal system: orthorhombic
Total magnetic moment: 0.546 μB per cell
ΔE_f (raw): -3.456 eV/atom

a = 5.512 Å, b = 5.749 Å, c = 5.512 Å
α = 90.02°, β = 94.59°, γ = 89.98°
Positions (direct):
Na (0.744, 0.500, 0.744)
Na (0.256, 0.500, 0.256)
Ho (0.730, 0.000, 0.270)
Ho (0.270, 0.000, 0.730)
F (0.000, 0.223, 0.500)
F (0.500, 0.777, 0.000)
F (0.000, 0.777, 0.500)
F (0.500, 0.223, 0.000)
F (0.000, 0.000, 0.000)
F (0.500, 0.777, 0.500)
F (0.500, 0.223, 0.500)

Entry 3:
NaHoF3 after structural relaxation. Source: Alexandria via LeMat-Bulk, functional GGA-PBE.

Crystal system: hexagonal
Total magnetic moment: 0.000 μB per cell
ΔE_f (raw): -3.045 eV/atom

a = 6.479 Å, b = 5.974 Å, c = 5.974 Å
α = 120.00°, β = 90.00°, γ = 90.00°
Positions (direct):
Na (0.000, 0.000, 0.000)
Na (0.500, 0.000, 0.000)
Ho (0.500, 0.667, 0.333)
Ho (0.000, 0.667, 0.333)
F (0.750, 0.360, 0.181)
F (0.750, 0.820, 0.640)
F (0.750, 0.819, 0.180)
F (0.250, 0.819, 0.640)
F (0.250, 0.360, 0.180)
F (0.250, 0.820, 0.181)